No. 1
Below is a geometry-optimized Zn2AsHOs structure, with properties calculated at the GGA-PBE level.

extended XYZ file:
```
5
Lattice="4.9438 0.0000 0.0000 0.0000 4.9438 0.0000 0.0000 0.0000 4.5785" Properties=species:S:1:pos:R:3 pbc="T T T"
Zn 0.0000 2.4719 0.0000
Zn 2.4719 0.0000 0.0000
As 0.0000 0.0000 2.2892
H 2.4719 2.4719 2.2892
Os 0.0000 0.0000 0.0000
```

Values from the calculation:
E_tot, eV/atom: -3.71
Fermi-level density of states, states/eV/atom: 0.201
Symmetry: P4/mmm, No. 123


No. 2
Below is a geometry-optimized AsPH4 structure, with properties calculated at the GGA-PBE level.

extended XYZ file:
```
24
Lattice="4.9168 0.0000 0.0000 0.0000 12.7414 0.0000 -4.7292 0.0000 6.3658" Properties=species:S:1:pos:R:3 pbc="T T T"
As 0.4611 0.1209 1.0342
As -1.9035 6.2498 4.2172
As 2.0911 6.4916 2.1487
As -0.2736 12.6205 5.3316
P -1.8913 2.3159 3.6787
P 0.4734 4.0548 0.4958
P -0.2858 8.6865 5.8701
P 2.0788 10.4255 2.6872
H -1.8604 1.3469 2.6289
H -4.2251 5.0238 5.8118
H -2.9670 7.1952 4.8364
H -0.6024 11.9168 1.6534
H 0.5672 9.4512 0.1188
H -1.7974 9.6609 3.3017
H -0.8461 3.1025 3.1044
H -3.2107 3.2681 6.2873
H 3.3982 9.4732 0.0785
H 1.0336 9.6388 3.2614
H 1.9850 3.0805 3.0641
H -0.3796 3.2902 6.2470
H 0.7900 0.8246 4.7124
H 3.1546 5.5461 1.5295
H 4.4126 7.7176 0.5540
H 2.0480 11.3945 3.7369
```

Values from the calculation:
E_tot, eV/atom: -3.83
Fermi-level density of states, states/eV/atom: 0.000
Symmetry: P2_1/c, No. 14


No. 3
Below is a geometry-optimized AsPH2 structure, with properties calculated at the GGA-PBE level.

extended XYZ file:
```
4
Lattice="0.0000 2.6869 2.6869 2.6869 0.0000 2.6869 2.6869 2.6869 0.0000" Properties=species:S:1:pos:R:3 pbc="T T T"
As 0.0000 0.0000 0.0000
P 2.6869 2.6869 2.6869
H 1.3435 1.3435 1.3435
H 4.0304 4.0304 4.0304
```

Values from the calculation:
E_tot, eV/atom: -3.32
E above lowest polymorph, meV/atom: 811.4
Fermi-level density of states, states/eV/atom: 0.344
Symmetry: Fm-3m, No. 225


No. 4
Below is a geometry-optimized As2PH structure, with properties calculated at the GGA-PBE level.

extended XYZ file:
```
4
Lattice="1.7598 1.0160 6.6372 -1.7598 1.0160 6.6372 0.0000 -2.0320 6.6372" Properties=species:S:1:pos:R:3 pbc="T T T"
As 0.0000 0.0000 1.8200
As 0.0000 0.0000 18.0915
P 0.0000 0.0000 9.9558
H 0.0000 0.0000 0.0000
```

Values from the calculation:
E_tot, eV/atom: -4.10
E above lowest polymorph, meV/atom: 0.0
Fermi-level density of states, states/eV/atom: 0.409
Symmetry: R-3m, No. 166


No. 5
Below is a geometry-optimized As2PH structure, with properties calculated at the GGA-PBE level.

extended XYZ file:
```
4
Lattice="0.0000 3.0670 3.0670 3.0670 0.0000 3.0670 3.0670 3.0670 0.0000" Properties=species:S:1:pos:R:3 pbc="T T T"
As 1.5335 1.5335 1.5335
As 4.6006 4.6006 4.6006
P 0.0000 0.0000 0.0000
H 3.0670 3.0670 3.0670
```

Values from the calculation:
E_tot, eV/atom: -3.82
E above lowest polymorph, meV/atom: 284.1
Fermi-level density of states, states/eV/atom: 0.427
Symmetry: Fm-3m, No. 225


No. 6
Below is a geometry-optimized AsPH3 structure, with properties calculated at the GGA-PBE level.

extended XYZ file:
```
5
Lattice="3.5422 0.0000 0.0000 0.0000 3.5422 0.0000 0.0000 0.0000 3.5422" Properties=species:S:1:pos:R:3 pbc="T T T"
As 0.0000 0.0000 0.0000
P 1.7711 1.7711 1.7711
H 0.0000 1.7711 1.7711
H 1.7711 0.0000 1.7711
H 1.7711 1.7711 0.0000
```

Values from the calculation:
E_tot, eV/atom: -3.25
E above lowest polymorph, meV/atom: 658.2
Fermi-level density of states, states/eV/atom: 0.399
Symmetry: Pm-3m, No. 221


No. 7
Below is a geometry-optimized AsPH2 structure, with properties calculated at the GGA-PBE level.

extended XYZ file:
```
8
Lattice="-2.5926 2.5926 3.6554 2.5926 -2.5926 3.6554 2.5926 2.5926 -3.6554" Properties=species:S:1:pos:R:3 pbc="T T T"
As 0.0000 0.0000 0.0000
As 0.0000 2.5926 1.8277
P 2.5926 0.0000 1.8277
P 0.0000 0.0000 3.6554
H 1.2963 -0.0279 2.7415
H 2.5647 1.2963 0.9138
H 1.2963 2.6205 -0.9138
H 0.0279 1.2963 4.5692
```

Values from the calculation:
E_tot, eV/atom: -3.60
E above lowest polymorph, meV/atom: 533.6
Fermi-level density of states, states/eV/atom: 0.320
Symmetry: I-42d, No. 122


No. 8
Below is a geometry-optimized As2P4H structure, with properties calculated at the GGA-PBE level.

extended XYZ file:
```
7
Lattice="-1.8089 1.8089 9.0544 1.8089 -1.8089 9.0544 1.8089 1.8089 -9.0544" Properties=species:S:1:pos:R:3 pbc="T T T"
As 0.0000 0.0000 3.1491
As 0.0000 0.0000 14.9597
P 1.8089 0.0000 0.0000
P 0.0000 0.0000 5.5374
P 0.0000 1.8089 0.0000
P 0.0000 0.0000 12.5715
H 0.0000 0.0000 9.0544
```

Values from the calculation:
E_tot, eV/atom: -4.37
Fermi-level density of states, states/eV/atom: 0.312
Symmetry: I4/mmm, No. 139


No. 9
Below is a geometry-optimized AsPH2 structure, with properties calculated at the GGA-PBE level.

extended XYZ file:
```
4
Lattice="2.7559 -2.6422 0.0000 2.7559 2.6422 0.0000 -0.5123 0.0000 4.4031" Properties=species:S:1:pos:R:3 pbc="T T T"
As 0.0000 0.0000 0.0000
P 2.6364 0.0000 4.3596
H 0.0609 0.0000 1.5407
H 2.5777 0.0000 2.9312
```

Values from the calculation:
E_tot, eV/atom: -4.13
E above lowest polymorph, meV/atom: 0.0
Symmetry: Cm, No. 8


No. 10
Below is a geometry-optimized As2PH structure, with properties calculated at the GGA-PBE level.

extended XYZ file:
```
8
Lattice="-2.6075 2.6075 5.1612 2.6075 -2.6075 5.1612 2.6075 2.6075 -5.1612" Properties=species:S:1:pos:R:3 pbc="T T T"
As 3.9113 1.0671 -1.2903
As 1.0671 1.3038 1.2903
As -1.3038 1.5405 3.8709
As 1.5405 1.3038 6.4515
P 2.6075 0.0000 2.5806
P 0.0000 0.0000 5.1612
H 0.0000 0.0000 0.0000
H 0.0000 2.6075 2.5806
```

Values from the calculation:
E_tot, eV/atom: -4.07
E above lowest polymorph, meV/atom: 29.3
Fermi-level density of states, states/eV/atom: 0.128
Symmetry: I-42d, No. 122


No. 11
Below is a geometry-optimized AsPH2 structure, with properties calculated at the GGA-PBE level.

extended XYZ file:
```
4
Lattice="1.3695 0.7907 7.0476 -1.3695 0.7907 7.0476 0.0000 -1.5813 7.0476" Properties=species:S:1:pos:R:3 pbc="T T T"
As 0.0000 0.0000 0.0000
P 0.0000 0.0000 10.5713
H 0.0000 0.0000 9.0437
H 0.0000 0.0000 12.0990
```

Values from the calculation:
E_tot, eV/atom: -3.65
E above lowest polymorph, meV/atom: 485.5
Fermi-level density of states, states/eV/atom: 0.354
Symmetry: R-3m, No. 166


No. 12
Below is a geometry-optimized As3P2H4 structure, with properties calculated at the GGA-PBE level.

extended XYZ file:
```
18
Lattice="5.3667 -4.6597 0.0000 5.3667 4.6597 0.0000 -4.7381 0.0000 6.5327" Properties=species:S:1:pos:R:3 pbc="T T T"
As 1.8131 3.5850 4.8995
As 4.0028 0.1698 0.3954
As 1.6337 -0.1698 3.6617
As 4.3615 0.1698 2.8709
As 1.9925 -0.1698 6.1373
As 4.1822 -3.5850 1.6332
P 1.5205 0.2962 0.2380
P -0.8485 -0.2962 3.5044
P 6.8438 0.2962 3.0283
P 4.4747 -0.2962 6.2946
H -0.9650 0.9063 4.2727
H 4.1560 1.6934 0.1996
H 1.4041 -0.9063 1.0064
H 4.2084 1.6934 3.0667
H 1.7869 -1.6934 3.4659
H 4.5912 0.9063 5.5263
H 1.8393 -1.6934 6.3331
H 6.9602 -0.9063 2.2599
```

Values from the calculation:
E_tot, eV/atom: -4.11
Fermi-level density of states, states/eV/atom: 0.092
Symmetry: C2/c, No. 15